Run w
Density functional theory data (PBE-GGA) for a geometry-optimized PmUPt2 structure.

Cell lengths 4.0917, 4.0917, 20.3362 Å; angles 90.00, 90.00, 120.00 degrees
With the nearest neighbours (Å) after each atom.
Space group R-3m (No. 166, hexagonal axes)
Asymmetric unit:
1 Pm 0.0000 0.0000 0.0000 x3  6 Pt 2.99
2 U 0.0000 0.0000 0.5000 x3  6 Pt 2.83
3 Pt 0.0000 0.0000 0.2434 x6  3 U 2.83, 3 Pm 2.99

Total magnetic moment   2.03 μB per formula unit
Density of states at the Fermi level   8.139 states/eV/f.u.

Run x
Density functional theory data (PBE-GGA) for a geometry-optimized PmUPt2 structure.

Cell lengths 3.4807, 3.4807, 7.3396 Å; angles 90.00, 90.00, 90.00 degrees
With the nearest neighbours (Å) after each atom.
Space group P4/mmm (No. 123)
Asymmetric unit:
1 Pm 0.0000 0.0000 0.0000 x1  8 Pt 3.18, 4 Pm 3.48
2 U 0.0000 0.0000 0.5000 x1  8 Pt 2.96
3 Pt 0.5000 0.5000 0.2751 x2  4 U 2.96, 4 Pm 3.18, 1 Pt 3.30

Total magnetic moment   2.47 μB per formula unit
Density of states at the Fermi level   7.076 states/eV/f.u.

Quick ranking, most stable first: run w, run x.

Run w
Density functional theory data (PBE-GGA) for a geometry-optimized PmYPt2 structure.

Cell lengths 5.0515, 5.0515, 3.4890 Å; angles 90.00, 90.00, 90.00 degrees
With the nearest neighbours (Å) after each atom.
Space group P4/mmm (No. 123)
Asymmetric unit:
1 Pm 0.0000 0.0000 0.0000 x1  8 Pt 3.07
2 Y 0.5000 0.5000 0.0000 x1  8 Pt 3.07
3 Pt 0.0000 0.5000 0.5000 x2  4 Pm 3.07, 4 Y 3.07

Total magnetic moment   0.00 μB per formula unit
Density of states at the Fermi level   2.714 states/eV/f.u.

Run x
Density functional theory data (PBE-GGA) for a geometry-optimized PmYPt2 structure.

Cell lengths 4.5131, 3.8451, 10.7014 Å; angles 90.00, 90.00, 90.00 degrees
With the nearest neighbours (Å) after each atom.
Space group Amm2 (No. 38)
Asymmetric unit:
1 Pm 0.0000 0.0000 0.0000 x2  7 Pt 2.93-3.09
2 Y 0.5000 0.0000 0.7243 x2  7 Pt 2.96-3.07
3 Pt 0.0000 0.0000 0.2738 x2  2 Pt 2.93, 3 Pm 2.93-3.09, 4 Y 3.01
4 Pt 0.5000 0.0000 0.4482 x2  2 Pt 2.93, 3 Y 2.96-3.07, 4 Pm 3.02

Total magnetic moment   0.00 μB per formula unit
Density of states at the Fermi level   2.629 states/eV/f.u.

Run y
Density functional theory data (PBE-GGA) for a geometry-optimized PmYPt2 structure.

Cell lengths 4.0837, 4.0837, 20.8736 Å; angles 90.00, 90.00, 120.00 degrees
With the nearest neighbours (Å) after each atom.
Space group R3m (No. 160, hexagonal axes)
Asymmetric unit:
1 Pm 0.0000 0.0000 0.0000 x3  6 Pt 2.94-3.02
2 Y 0.0000 0.0000 0.8275 x3  6 Pt 2.85-2.91
3 Pt 0.0000 0.0000 0.4174 x3  3 Y 2.85, 3 Pm 2.94
4 Pt 0.0000 0.0000 0.5761 x3  3 Y 2.91, 3 Pm 3.02

Total magnetic moment   0.00 μB per formula unit
Density of states at the Fermi level   2.026 states/eV/f.u.

Quick ranking, most stable first: run x, run w, run y.

Run w
Density functional theory data (PBE-GGA) for a geometry-optimized Pm2Zn2Pt3 structure.

Cell lengths 10.4687, 4.0049, 7.0801 Å; angles 90.00, 111.40, 90.00 degrees
With the nearest neighbours (Å) after each atom.
Space group C2/m (No. 12)
Asymmetric unit:
1 Pm 0.1227 0.0000 0.2557 x4  4 Zn 2.96-3.19, 6 Pt 2.99-3.20
2 Zn 0.1543 0.0000 0.7216 x4  5 Pt 2.63-2.69
3 Pt 0.0000 0.5000 0.5000 x2  4 Zn 2.69, 2 Pt 2.92
4 Pt 0.1230 0.5000 0.9425 x4  3 Zn 2.63-2.65, 1 Pt 2.92

Total magnetic moment   0.00 μB per formula unit
Density of states at the Fermi level   3.423 states/eV/f.u.

Run x
Density functional theory data (PBE-GGA) for a geometry-optimized Pm2Zn2Pt3 structure.

Cell lengths 4.0798, 18.9418, 7.4358 Å; angles 90.00, 90.00, 90.00 degrees
With the nearest neighbours (Å) after each atom.
Space group Cmcm (No. 63)
Asymmetric unit:
1 Pm 0.0000 0.0609 0.2500 x4  9 Pt 3.09-3.44
2 Pm 0.0000 0.1545 0.7500 x4  6 Pt 3.00-3.06, 6 Zn 3.12-3.24
3 Zn 0.0000 0.3067 0.5522 x8  4 Pt 2.57-2.73
4 Pt 0.0000 0.2249 0.2500 x4  6 Zn 2.58-2.73
5 Pt 0.0000 0.4350 0.0618 x8  1 Zn 2.57, 2 Pt 2.63-2.80

Total magnetic moment   0.00 μB per formula unit
Density of states at the Fermi level   3.492 states/eV/f.u.

Quick ranking, most stable first: run x, run w.

Run w
Density functional theory data (PBE-GGA) for a geometry-optimized PmZnPt structure.

Cell lengths 4.4356, 4.4356, 3.7707 Å; angles 90.00, 90.00, 120.00 degrees
With the nearest neighbours (Å) after each atom.
Space group P-6m2 (No. 187)
Asymmetric unit:
1 Pm 0.0000 0.0000 0.0000 x1  6 Zn 3.18, 6 Pt 3.18
2 Zn 0.3333 0.6667 0.5000 x1  3 Pt 2.56
3 Pt 0.6667 0.3333 0.5000 x1  3 Zn 2.56

Total magnetic moment   0.00 μB per formula unit
Density of states at the Fermi level   2.415 states/eV/f.u.

Run x
Density functional theory data (PBE-GGA) for a geometry-optimized PmZnPt structure.

Cell lengths 6.6086, 6.6086, 6.6086 Å; angles 90.00, 90.00, 90.00 degrees
With the nearest neighbours (Å) after each atom.
Space group F-43m (No. 216)
Asymmetric unit:
1 Pm 0.0000 0.0000 0.0000 x4  4 Pt 2.86
2 Zn 0.0000 0.0000 0.5000 x4  4 Pt 2.86
3 Pt 0.2500 0.2500 0.7500 x4  4 Pm 2.86, 4 Zn 2.86

Total magnetic moment   0.00 μB per formula unit
Density of states at the Fermi level   2.243 states/eV/f.u.

Quick ranking, most stable first: run w, run x.